# 1
LiSbI2Br | Alexandria | GGA-PBE | optimized geometry; space group = P4/mmm (123); E = -2.12 eV per atom; ΔE_f (raw) = 18 kJ/mol of formula units; energy above the most stable polymorph in this dataset = 0 meV/atom; ρ = 5021 kg/m3
1.0
5.165 0.000 0.000
0.000 5.165 0.000
0.000 0.000 5.734
Li Sb I Br
1 1 2 1
direct
0.000 0.000 0.000
0.000 0.000 0.500
0.000 0.500 0.000
0.500 0.000 0.000
0.500 0.500 0.500

---

# 2
Mg3UBr2O6 | Alexandria | GGA-PBE | optimized geometry; space group = C2/m (12); E = -6.14 eV per atom; ΔE_f (raw) = -2360 kJ/mol of formula units; ρ = 5124 kg/m3
1.0
5.821 -3.134 0.000
5.821 3.134 0.000
-1.421 0.000 5.033
Mg U Br O
3 1 2 6
direct
0.000 0.000 0.000
0.000 0.500 0.500
0.500 0.000 0.500
0.500 0.500 0.500
0.198 0.198 0.862
0.802 0.802 0.138
0.202 0.675 0.702
0.299 0.299 0.318
0.325 0.798 0.298
0.675 0.202 0.702
0.701 0.701 0.682
0.798 0.325 0.298

---

# 3
AcPm3Ni3 | Alexandria | GGA-PBE | optimized geometry; space group = Pm-3n (223); E = -4.90 eV per atom; ΔH_f (0 K) = 196 meV/atom; ρ = 6735 kg/m3
1.0
7.449 0.000 0.000
0.000 7.449 0.000
0.000 0.000 7.449
Ac Pm Ni
2 6 6
direct
0.000 0.000 0.000
0.500 0.500 0.500
0.000 0.250 0.500
0.000 0.750 0.500
0.250 0.500 0.000
0.500 0.000 0.250
0.500 0.000 0.750
0.750 0.500 0.000
0.000 0.500 0.250
0.000 0.500 0.750
0.250 0.000 0.500
0.500 0.250 0.000
0.500 0.750 0.000
0.750 0.000 0.500

---

# 4
Dy2PuHg | Alexandria | GGA-PBE | optimized geometry; space group = P4/mmm (123); E = -6.10 eV per atom; ΔH_f (0 K) = -140 meV/atom; energy above the most stable polymorph in this dataset = 0 meV/atom; ρ = 11596 kg/m3
1.0
3.517 0.000 0.000
0.000 3.517 0.000
0.000 0.000 8.910
Dy Pu Hg
2 1 1
direct
0.000 0.000 0.229
0.000 0.000 0.771
0.500 0.500 0.500
0.500 0.500 0.000